1.
# KSb2Au

An optimized crystal structure of KSb2Au (PBE, the Alexandria database).

The theoretical density comes out at 7.48 g/cm3. The space group is Cmmm. For the electronic total energy, the calculation gives -12.51 eV for the cell shown. The formation energy (no corrections) is 0.11 eV per formula unit. The spin magnetization is 0.00 μB per formula unit. Its density of states at the Fermi level is 1.47 states/eV per cell.

a = 6.182 Å, b = 6.182 Å, c = 3.058 Å
α = 89.96°, β = 89.96°, γ = 114.36°
Fractional positions:
1 Au 0.500 0.000 0.500
2 K 0.000 0.500 0.500
3 Sb 0.000 0.000 0.000
4 Sb 0.500 0.500 0.000

2.
# KSb4Au

An optimized crystal structure of KSb4Au (PBE, the Alexandria database).

The theoretical density comes out at 5.96 g/cm3. The space group is I4_1/a. For the electronic total energy, the calculation gives -42.65 eV for the cell shown. The formation energy (no corrections) is -0.46 eV per formula unit. The spin magnetization is 0.00 μB per formula unit. Its density of states at the Fermi level is 5.71 states/eV per cell.

a = 5.977 Å, b = 5.977 Å, c = 12.039 Å
α = 104.37°, β = 104.37°, γ = 90.00°
Fractional positions:
1 K 0.875 0.625 0.250
2 K 0.125 0.375 0.750
3 Sb 0.286 0.768 0.042
4 Sb 0.255 0.274 0.042
5 Sb 0.774 0.786 0.542
6 Sb 0.268 0.755 0.542
7 Sb 0.714 0.232 0.958
8 Sb 0.745 0.726 0.958
9 Sb 0.226 0.214 0.458
10 Sb 0.732 0.245 0.458
11 Au 0.375 0.125 0.250
12 Au 0.625 0.875 0.750

3.
# KSb3Au3

An optimized crystal structure of KSb3Au3 (PBE, the Alexandria database).

The theoretical density comes out at 7.33 g/cm3. The space group is Pm-3n. For the electronic total energy, the calculation gives -48.84 eV for the cell shown. The formation energy (no corrections) is -1.13 eV per formula unit. The spin magnetization is 0.00 μB per formula unit. Its density of states at the Fermi level is 8.42 states/eV per cell.

a = 7.667 Å, b = 7.667 Å, c = 7.667 Å
α = 90.00°, β = 90.00°, γ = 90.00°
Fractional positions:
1 Sb 0.000 0.250 0.500
2 Sb 0.000 0.750 0.500
3 Sb 0.500 0.000 0.750
4 Sb 0.750 0.500 0.000
5 Sb 0.500 0.000 0.250
6 Sb 0.250 0.500 0.000
7 K 0.500 0.500 0.500
8 K 0.000 0.000 0.000
9 Au 0.250 0.000 0.500
10 Au 0.000 0.500 0.250
11 Au 0.500 0.750 0.000
12 Au 0.750 0.000 0.500
13 Au 0.000 0.500 0.750
14 Au 0.500 0.250 0.000

Which of these has the lowest theoretical density? KSb4Au